Entry 1:
# Dy2ErMg | Alexandria via LeMat-Bulk | GGA-PBE | relaxed
data_Dy2ErMg
_chemical_formula_sum 'Dy2 Er1 Mg1'
_symmetry_space_group_name_H-M 'P 1'
_symmetry_Int_Tables_number 1
_cell_length_a 3.470
_cell_length_b 3.470
_cell_length_c 11.567
_cell_angle_alpha 81.37
_cell_angle_beta 81.37
_cell_angle_gamma 60.00
loop_
_symmetry_equiv_pos_as_xyz
'x,y,z'
loop_
_atom_site_label
_atom_site_type_symbol
_atom_site_fract_x
_atom_site_fract_y
_atom_site_fract_z
_atom_site_occupancy
Mg1 Mg 0.500 0.500 0.500 1
Er1 Er 0.667 0.667 0.000 1
Dy1 Dy 0.084 0.084 0.749 1
Dy2 Dy 0.250 0.250 0.251 1
# Energy of formation from the pure elements in meV per atom: 42
# Density in g/cm3: 7.22

***

Entry 2:
# Dy7Er3Mg | Alexandria via LeMat-Bulk | GGA-PBE | relaxed
data_Dy7Er3Mg
_chemical_formula_sum 'Dy7 Er3 Mg1'
_symmetry_space_group_name_H-M 'P 1'
_symmetry_Int_Tables_number 1
_cell_length_a 8.500
_cell_length_b 6.949
_cell_length_c 6.949
_cell_angle_alpha 120.00
_cell_angle_beta 90.00
_cell_angle_gamma 90.00
loop_
_symmetry_equiv_pos_as_xyz
'x,y,z'
loop_
_atom_site_label
_atom_site_type_symbol
_atom_site_fract_x
_atom_site_fract_y
_atom_site_fract_z
_atom_site_occupancy
Dy1 Dy 0.116 0.667 0.333 1
Dy2 Dy 0.118 0.666 0.833 1
Dy3 Dy 0.118 0.167 0.334 1
Dy4 Dy 0.447 0.830 0.661 1
Dy5 Dy 0.447 0.339 0.170 1
Dy6 Dy 0.118 0.167 0.833 1
Dy7 Dy 0.447 0.830 0.170 1
Er1 Er 0.785 0.997 0.498 1
Er2 Er 0.785 0.502 0.003 1
Er3 Er 0.785 0.502 0.498 1
Mg1 Mg 0.447 0.333 0.667 1
# Energy of formation from the pure elements in meV per atom: 197
# Density in g/cm3: 7.77

***

Entry 3:
# DyEr2Mg | Alexandria via LeMat-Bulk | GGA-PBE | relaxed
data_DyEr2Mg
_chemical_formula_sum 'Dy1 Er2 Mg1'
_symmetry_space_group_name_H-M 'P 1'
_symmetry_Int_Tables_number 1
_cell_length_a 4.891
_cell_length_b 4.867
_cell_length_c 4.867
_cell_angle_alpha 90.00
_cell_angle_beta 90.00
_cell_angle_gamma 90.00
loop_
_symmetry_equiv_pos_as_xyz
'x,y,z'
loop_
_atom_site_label
_atom_site_type_symbol
_atom_site_fract_x
_atom_site_fract_y
_atom_site_fract_z
_atom_site_occupancy
Er1 Er 0.000 0.500 0.000 1
Er2 Er 0.000 0.000 0.500 1
Dy1 Dy 0.500 0.500 0.500 1
Mg1 Mg 0.500 0.000 0.000 1
# Energy of formation from the pure elements in meV per atom: 31
# Density in g/cm3: 7.47

***

Entry 4:
# Dy2Er3Mg | Alexandria via LeMat-Bulk | GGA-PBE | relaxed
data_Dy2Er3Mg
_chemical_formula_sum 'Dy4 Er6 Mg2'
_symmetry_space_group_name_H-M 'P 1'
_symmetry_Int_Tables_number 1
_cell_length_a 7.497
_cell_length_b 7.497
_cell_length_c 9.685
_cell_angle_alpha 99.82
_cell_angle_beta 136.36
_cell_angle_gamma 81.07
loop_
_symmetry_equiv_pos_as_xyz
'x,y,z'
loop_
_atom_site_label
_atom_site_type_symbol
_atom_site_fract_x
_atom_site_fract_y
_atom_site_fract_z
_atom_site_occupancy
Er1 Er 0.315 0.713 0.986 1
Er2 Er 0.772 0.671 0.486 1
Er3 Er 0.685 0.287 0.014 1
Er4 Er 0.228 0.329 0.514 1
Er5 Er 0.801 0.051 0.750 1
Er6 Er 0.199 0.949 0.250 1
Mg1 Mg 0.072 0.322 0.750 1
Mg2 Mg 0.928 0.678 0.250 1
Dy1 Dy 0.261 0.395 0.191 1
Dy2 Dy 0.739 0.605 0.809 1
Dy3 Dy 0.704 0.070 0.309 1
Dy4 Dy 0.296 0.930 0.691 1
# Energy of formation from the pure elements in meV per atom: 141
# Density in g/cm3: 7.64

***

Entry 5:
# Dy4Er7Mg | Alexandria via LeMat-Bulk | GGA-PBE | relaxed
data_Dy4Er7Mg
_chemical_formula_sum 'Dy4 Er7 Mg1'
_symmetry_space_group_name_H-M 'P 1'
_symmetry_Int_Tables_number 1
_cell_length_a 5.728
_cell_length_b 6.646
_cell_length_c 11.477
_cell_angle_alpha 81.93
_cell_angle_beta 75.55
_cell_angle_gamma 64.47
loop_
_symmetry_equiv_pos_as_xyz
'x,y,z'
loop_
_atom_site_label
_atom_site_type_symbol
_atom_site_fract_x
_atom_site_fract_y
_atom_site_fract_z
_atom_site_occupancy
Er1 Er 0.203 0.522 0.072 1
Er2 Er 0.500 0.000 0.000 1
Er3 Er 0.633 0.219 0.515 1
Er4 Er 0.797 0.478 0.928 1
Er5 Er 0.912 0.893 0.283 1
Er6 Er 0.088 0.107 0.717 1
Er7 Er 0.367 0.781 0.485 1
Dy1 Dy 0.372 0.486 0.769 1
Dy2 Dy 0.628 0.514 0.231 1
Dy3 Dy 0.815 0.722 0.649 1
Dy4 Dy 0.185 0.278 0.351 1
Mg1 Mg 0.000 0.000 0.000 1
# Energy of formation from the pure elements in meV per atom: 275
# Density in g/cm3: 8.03

***

Entry 6:
# Dy2ErMg2 | Alexandria via LeMat-Bulk | GGA-PBE | relaxed
data_Dy2ErMg2
_chemical_formula_sum 'Dy2 Er1 Mg2'
_symmetry_space_group_name_H-M 'P 1'
_symmetry_Int_Tables_number 1
_cell_length_a 5.380
_cell_length_b 5.380
_cell_length_c 6.384
_cell_angle_alpha 65.08
_cell_angle_beta 65.08
_cell_angle_gamma 60.00
loop_
_symmetry_equiv_pos_as_xyz
'x,y,z'
loop_
_atom_site_label
_atom_site_type_symbol
_atom_site_fract_x
_atom_site_fract_y
_atom_site_fract_z
_atom_site_occupancy
Er1 Er 0.500 0.500 0.500 1
Mg1 Mg 0.090 0.090 0.730 1
Mg2 Mg 0.910 0.910 0.270 1
Dy1 Dy 0.286 0.286 0.142 1
Dy2 Dy 0.714 0.714 0.858 1
# Energy of formation from the pure elements in meV per atom: -29
# Density in g/cm3: 6.42

***

It is found that the total energy values, taken in the order of the records, are -3.80; -4.12; -3.80; -3.94; -4.05; -3.42 eV per atom.